First-principles (PBE-GGA) data for an optimized crystal structure of In6Ir7, as listed in Alexandria.

Computed properties:
- N(E_F) (states/eV per cell) = 36.78
- ΔH_f (0 K) (eV per atom) = 0.07

Unit cell a=5.5292 b=5.5292 c=26.8121 alpha=90.00 beta=90.00 gamma=120.00
Closest atoms and distances in Å follow each position.
Space group R-3m (No. 166, hexagonal axes)
Unique sites:
In 0.0000 0.0000 0.0522  2 In 2.80-2.82, 6 Ir 2.93
In 0.0000 0.0000 0.1573  1 In 2.82, 3 Ir 2.83
In 0.0000 0.0000 0.3356  6 Ir 2.82-2.89
Ir 0.0000 0.0000 0.5000  6 Ir 2.66
Ir 0.0057 0.5028 0.9119  5 Ir 2.66-2.81, 5 In 2.82-2.93